Entry 1:
An optimized crystal structure of LaPm2HoEr. Source: Alexandria via LeMat-Bulk, functional PBE.

Cell and atoms, written as POSCAR:
```
LaPm2HoEr
1.0
9.045 0.000 0.000
0.000 6.406 0.000
-1.986 0.000 6.068
La Pm Ho Er
2 4 2 2
Cartesian
0.000 0.000 0.000
-0.993 0.000 3.034
2.552 2.034 0.999
1.559 4.372 4.034
5.500 2.034 2.035
4.507 4.372 5.069
3.033 1.063 4.551
4.026 5.343 1.517
-1.489 3.123 4.551
-0.496 3.283 1.517
```

Summary:
The value obtained for the formation enthalpy at 0 K is 0.2801 eV/atom. Its space-group type is P2/c (13). The calculation puts the density of states at the Fermi level at 13.5 states/eV/cell. The crystal system is monoclinic.

---

Entry 2:
An optimized crystal structure of La3PrHo2Er6. Source: Alexandria via LeMat-Bulk, functional PBE.

Cell and atoms, written as POSCAR:
```
La3PrHo2Er6
1.0
3.111 -5.388 0.000
3.111 5.388 0.000
-2.071 0.000 11.626
La Pr Ho Er
3 1 2 6
Cartesian
0.000 0.000 0.000
3.111 1.795 0.000
3.111 -1.795 0.000
2.076 0.000 5.813
2.076 3.590 5.813
2.076 -3.590 5.813
1.036 1.801 2.954
-0.004 0.000 8.672
1.036 -1.801 2.954
3.115 1.801 8.671
4.155 0.000 2.954
3.115 -1.801 8.671
```

Summary:
The value obtained for the formation enthalpy at 0 K is 0.0219 eV/atom. Its space-group type is C2/m (12). The calculation puts the density of states at the Fermi level at 15.2 states/eV/cell. The crystal system is monoclinic.

---

Entry 3:
An optimized crystal structure of La2PrHoEr. Source: Alexandria via LeMat-Bulk, functional PBE.

Cell and atoms, written as POSCAR:
```
La2PrHoEr
1.0
3.277 -8.314 0.000
3.277 8.314 0.000
0.000 0.000 6.551
La Pr Ho Er
4 2 2 2
Cartesian
1.630 0.000 0.000
1.630 0.000 3.276
4.925 0.000 0.000
4.925 0.000 3.276
3.277 2.653 4.914
3.277 -2.653 1.638
3.277 4.216 1.638
3.277 -4.216 4.914
3.277 5.719 4.914
3.277 -5.719 1.638
```

Summary:
The value obtained for the formation enthalpy at 0 K is 0.3528 eV/atom. Its space-group type is Cmcm (63). The calculation puts the density of states at the Fermi level at 14.6 states/eV/cell. The crystal system is orthorhombic.

---

Entry 4:
An optimized crystal structure of La2PrHoEr4. Source: Alexandria via LeMat-Bulk, functional PBE.

Cell and atoms, written as POSCAR:
```
La2PrHoEr4
1.0
6.225 -3.603 0.000
6.225 3.603 0.000
-4.128 0.000 11.656
La Pr Ho Er
4 2 2 8
Cartesian
0.000 0.000 0.000
-2.064 0.000 5.828
3.113 1.801 0.000
3.113 -1.801 0.000
6.225 0.000 0.000
4.161 0.000 5.828
1.048 1.801 5.828
1.048 -1.801 5.828
3.127 1.800 8.711
0.026 0.000 8.709
2.074 0.000 2.953
5.195 1.800 2.945
3.127 -1.800 8.711
6.247 0.000 8.704
8.296 0.000 2.947
5.195 -1.800 2.945
```

Summary:
The value obtained for the formation enthalpy at 0 K is 0.0206 eV/atom. Its space-group type is C2/m (12). The calculation puts the density of states at the Fermi level at 20.9 states/eV/cell. The crystal system is monoclinic.

---

Question: What is the formula in the fourth record?
Answer: La2PrHoEr4

---

Question: What is the formula in the first record?
Answer: LaPm2HoEr

---

Question: Which of these has the lowest formation enthalpy at 0 K?
Answer: La2PrHoEr4